# 1
ErMgAg (PBE-GGA, relaxed); formation enthalpy at 0 K = -0.2648 eV per atom; space-group type = P-62m (189); total energy = -3.27 eV per atom; magnetic moment = 0.000 μB per formula unit; mass density = 7.15 g/cm3
1.0
4.002 0.000 0.000
0.000 7.759 0.000
0.000 -3.879 6.719
Ag Mg Er
3 3 3
Direct
0.500 0.000 0.000 Ag
0.000 0.333 0.667 Ag
0.000 0.667 0.333 Ag
0.000 0.000 0.250 Mg
0.000 0.750 0.750 Mg
0.000 0.250 0.000 Mg
0.500 0.588 0.000 Er
0.500 0.000 0.588 Er
0.500 0.412 0.412 Er

---

# 2
InFeN2 (PBE-GGA, relaxed); formation energy (no corrections) = 311 meV per atom; space-group type = I-42d (122); total energy = -6.65 eV per atom; magnetic moment = 0.684 μB per formula unit; mass density = 6.44 g/cm3
1.0
-0.090 -3.851 2.790
3.811 1.610 2.346
-0.846 1.049 5.475
In Fe N
2 2 4
Direct
0.000 0.000 0.000 In
0.750 0.250 0.500 In
0.500 0.500 0.000 Fe
0.250 0.750 0.500 Fe
0.375 0.444 0.750 N
0.194 0.625 0.250 N
0.875 0.806 0.750 N
0.556 0.125 0.250 N

---

# 3
LaHg3Pd3 (PBE-GGA, relaxed); formation enthalpy at 0 K = -0.3833 eV per atom; space-group type = P2_1/m (11); total energy = -3.44 eV per atom; magnetic moment = 0.000 μB per formula unit; mass density = 11.68 g/cm3
1.0
4.638 0.000 0.000
0.000 7.515 -4.291
0.000 -0.036 8.666
Hg Pd La
6 6 2
Direct
0.250 0.748 0.769 Hg
0.750 0.252 0.231 Hg
0.750 0.979 0.748 Hg
0.250 0.021 0.252 Hg
0.750 0.770 0.021 Hg
0.250 0.230 0.979 Hg
0.750 0.607 0.544 Pd
0.250 0.544 0.938 Pd
0.250 0.063 0.606 Pd
0.250 0.393 0.456 Pd
0.750 0.456 0.062 Pd
0.750 0.937 0.394 Pd
0.250 0.666 0.333 La
0.750 0.334 0.667 La